Record 1
# KCe2Se4

A geometry-optimized KCe2Se4 structure (PBE-GGA, Alexandria via LeMat-Bulk).

Computed properties:
Energy above the most stable polymorph in this dataset (meV/atom): 10
Electronic total energy (eV/cell): -153.7
V (Å³ per atom): 31.3
DOS(E_F) (states/eV/atom): 1.262
Raw formation energy (kcal/mol of atoms): -37.9

a b c (Å): 4.2951 14.1091 14.4775
angles (deg): 90.00 90.00 90.00
Space group Cmcm (No. 63)
Inequivalent atoms, fractional coordinates:
K: 0.0000 0.1085 0.2500 (multiplicity 4)
Ce: 0.0000 0.3655 0.0681 (multiplicity 8)
Se: 0.0000 0.0000 0.0000 (multiplicity 4)
Se: 0.0000 0.2648 0.6087 (multiplicity 8)
Se: 0.0000 0.4316 0.2500 (multiplicity 4)

Record 2
# Sc2S3

A geometry-optimized Sc2S3 structure (PBE-GGA, Alexandria via LeMat-Bulk).

Computed properties:
Electronic total energy (eV/cell): -131.2
V (Å³ per atom): 18.7
DOS(E_F) (states/eV/atom): 0.164
Raw formation energy (kcal/mol of atoms): -35.7

a b c (Å): 3.4323 13.2750 8.1877
angles (deg): 90.00 90.00 90.00
Space group Cmcm (No. 63)
Inequivalent atoms, fractional coordinates:
Sc: 0.0000 0.0000 0.0000 (multiplicity 4)
Sc: 0.0000 0.2508 0.2500 (multiplicity 4)
S: 0.0000 0.3396 0.5575 (multiplicity 8)
S: 0.0000 0.4493 0.2500 (multiplicity 4)